# 1
## TmPuOsPb (PBE)

Data for TmPuOsPb after structural relaxation.

Cell: 3.303 3.303 8.711 Å, 90.00 90.00 90.00°
Element x y z (fractional)
1 Tm 0.000 0.000 0.000
2 Pu 0.000 0.000 0.604
3 Os 0.500 0.500 0.804
4 Pb 0.500 0.500 0.297

Results
- Mass density: 14.16 g/cm3
- Density of states at the Fermi level: 1.953 states/eV/atom
- Space group: No. 99
- Calculated total energy: -34.71 eV per cell

# 2
## K4P3 (PBE)

Data for K4P3 after structural relaxation.

Cell: 6.246 6.246 15.096 Å, 90.00 90.00 132.91°
Element x y z (fractional)
1 K 0.000 0.000 0.000
2 K 0.000 0.000 0.500
3 K 0.013 0.987 0.750
4 K 0.302 0.698 0.612
5 K 0.302 0.698 0.888
6 K 0.698 0.302 0.112
7 K 0.698 0.302 0.388
8 K 0.987 0.013 0.250
9 P 0.292 0.708 0.250
10 P 0.391 0.609 0.126
11 P 0.391 0.609 0.374
12 P 0.609 0.391 0.626
13 P 0.609 0.391 0.874
14 P 0.708 0.292 0.750

Results
- Mass density: 1.92 g/cm3
- Density of states at the Fermi level: 0.249 states/eV/atom
- Space group: No. 63
- Calculated total energy: -46.60 eV per cell

# 3
## TcNiSbMo2 (PBE)

Data for TcNiSbMo2 after structural relaxation.

Cell: 4.687 4.687 4.971 Å, 90.00 90.00 90.00°
Element x y z (fractional)
1 Tc 0.000 0.000 0.000
2 Ni 0.500 0.500 0.500
3 Sb 0.000 0.000 0.500
4 Mo 0.000 0.500 0.000
5 Mo 0.500 0.000 0.000

Results
- Mass density: 7.15 g/cm3
- Density of states at the Fermi level: 1.200 states/eV/atom
- Space group: No. 123
- E_form (uncorrected): 1.608 eV per atom

# 4
## BaMg3Hg3 (PBE)

Data for BaMg3Hg3 after structural relaxation.

Cell: 8.757 4.976 9.560 Å, 90.00 112.70 90.00°
Element x y z (fractional)
1 Ba 0.109 0.250 0.351
2 Ba 0.891 0.750 0.649
3 Mg 0.261 0.250 0.047
4 Mg 0.375 0.750 0.897
5 Mg 0.448 0.750 0.271
6 Mg 0.552 0.250 0.729
7 Mg 0.625 0.250 0.103
8 Mg 0.739 0.750 0.953
9 Hg 0.110 0.750 0.066
10 Hg 0.208 0.250 0.733
11 Hg 0.417 0.750 0.588
12 Hg 0.583 0.250 0.412
13 Hg 0.792 0.750 0.267
14 Hg 0.890 0.250 0.934

Results
- Mass density: 7.02 g/cm3
- Relative energy among the computed polymorphs: 0.0 meV per atom
- Density of states at the Fermi level: 0.572 states/eV/atom
- Space group: No. 11

# 5
## Nd2SmGe3Ir4 (PBE)

Data for Nd2SmGe3Ir4 after structural relaxation.

Cell: 4.220 4.220 11.336 Å, 90.00 90.00 90.00°
Element x y z (fractional)
1 Nd 0.000 0.500 0.228
2 Nd 0.500 0.000 0.772
3 Sm 0.000 0.000 0.500
4 Ge 0.000 0.500 0.880
5 Ge 0.500 0.000 0.120
6 Ge 0.500 0.500 0.500
7 Ir 0.000 0.000 0.000
8 Ir 0.000 0.500 0.663
9 Ir 0.500 0.000 0.337
10 Ir 0.500 0.500 0.000

Results
- Mass density: 11.72 g/cm3
- Density of states at the Fermi level: 0.529 states/eV/atom
- Space group: No. 115
- Calculated total energy: -70.99 eV per cell

# 6
## LaIrOs2 (PBE)

Data for LaIrOs2 after structural relaxation.

Cell: 2.926 2.926 8.263 Å, 90.00 90.00 90.00°
Element x y z (fractional)
1 La 0.000 0.000 0.000
2 Ir 0.500 0.500 0.709
3 Os 0.000 0.000 0.494
4 Os 0.500 0.500 0.297

Results
- Mass density: 16.71 g/cm3
- Relative energy among the computed polymorphs: 0.0 meV per atom
- Density of states at the Fermi level: 0.809 states/eV/atom
- Space group: No. 99

# 7
## Pr3NdY4 (PBE)

Data for Pr3NdY4 after structural relaxation.

Cell: 11.700 7.388 6.373 Å, 90.00 90.00 90.00°
Element x y z (fractional)
1 Pr 0.000 0.127 0.000
2 Pr 0.250 0.126 0.332
3 Pr 0.250 0.874 0.832
4 Pr 0.500 0.873 0.500
5 Pr 0.750 0.126 0.332
6 Pr 0.750 0.874 0.832
7 Nd 0.000 0.873 0.501
8 Nd 0.500 0.127 0.001
9 Y 0.000 0.378 0.499
10 Y 0.000 0.622 0.999
11 Y 0.250 0.378 0.834
12 Y 0.250 0.622 0.334
13 Y 0.500 0.378 0.499
14 Y 0.500 0.622 0.999
15 Y 0.750 0.378 0.834
16 Y 0.750 0.622 0.334

Results
- Mass density: 5.56 g/cm3
- Relative energy among the computed polymorphs: 0.0 meV per atom
- Density of states at the Fermi level: 1.903 states/eV/atom
- Space group: No. 31

# 8
## ScGa2Ag2 (PBE)

Data for ScGa2Ag2 after structural relaxation.

Cell: 6.466 6.466 6.466 Å, 143.56 143.56 52.49°
Element x y z (fractional)
1 Sc 0.000 0.000 0.000
2 Ga 0.397 0.397 0.000
3 Ga 0.603 0.603 0.000
4 Ag 0.250 0.750 0.500
5 Ag 0.750 0.250 0.500

Results
- Mass density: 7.01 g/cm3
- Relative energy among the computed polymorphs: 41.6 meV per atom
- Density of states at the Fermi level: 0.667 states/eV/atom
- Space group: No. 139